Record 1
{"formula": "BaSb2Mo", "functional": "GGA-PBE", "state": "optimized geometry", "lattice_angstrom": [[-2.955, -3.122, -1.120], [0.099, -2.935, -3.333], [2.562, -7.325, 2.918]], "species": ["Mo", "Sb", "Sb", "Ba"], "frac_coords": [[0.323, 0.323, 0.008], [0.703, 0.703, 0.818], [0.949, 0.949, 0.182], [0.525, 0.525, 0.492]], "raw_formation_energy_ev_per_atom": -0.14, "polymorph_energy_ev_per_atom": 0.0442, "space_group": "Cm (8)", "dos_ef_per_ev_fu": 2.0}

***

Record 2
{"formula": "BaSbMo2", "functional": "GGA-PBE", "state": "optimized geometry", "lattice_angstrom": [[-6.587, 4.882, 0.648], [-3.548, -3.953, -6.280], [-6.351, -1.530, -0.835]], "species": ["Sb", "Sb", "Mo", "Mo", "Mo", "Mo", "Ba", "Ba"], "frac_coords": [[0.500, 0.500, 0.000], [0.250, 0.750, 0.500], [0.375, 0.441, 0.750], [0.559, 0.125, 0.250], [0.191, 0.625, 0.250], [0.875, 0.809, 0.750], [0.750, 0.250, 0.500], [0.000, 0.000, 0.000]], "raw_formation_energy_ev_per_atom": 1.23, "space_group": "I-42d (122)", "dos_ef_per_ev_fu": 8.9}

***

Record 3
{"formula": "BaSbMo2", "functional": "GGA-PBE", "state": "optimized geometry", "lattice_angstrom": [[6.304, -0.007, 0.002], [2.818, 5.639, -0.002], [-3.675, -4.251, 2.857]], "species": ["Sb", "Ba", "Mo", "Mo"], "frac_coords": [[0.534, 0.534, 0.000], [0.241, 0.741, 0.500], [0.944, 0.944, 0.000], [0.781, 0.281, 0.500]], "raw_formation_energy_ev_per_atom": 0.64, "space_group": "Imm2 (44)", "dos_ef_per_ev_fu": 2.1}

***

Record 4
{"formula": "BaSbMo2", "functional": "GGA-PBE", "state": "optimized geometry", "lattice_angstrom": [[-1.444, -1.345, 2.462], [0.193, -2.073, -2.371], [8.494, -3.017, 3.331]], "species": ["Mo", "Mo", "Ba", "Sb"], "frac_coords": [[0.000, 0.000, 0.458], [0.000, 0.000, 0.042], [0.500, 0.500, 0.750], [0.500, 0.500, 0.250]], "raw_formation_energy_ev_per_atom": 1.01, "space_group": "Cmmm (65)", "dos_ef_per_ev_fu": 4.4}

***

Record 5
{"formula": "BaSbMo2", "functional": "GGA-PBE", "state": "optimized geometry", "lattice_angstrom": [[-2.759, -5.703, -0.805], [3.629, -5.250, 0.237], [-2.704, 5.177, 2.583]], "species": ["Sb", "Mo", "Mo", "Ba"], "frac_coords": [[0.750, 0.250, 0.500], [0.534, 0.534, 0.000], [0.966, 0.966, 0.000], [0.250, 0.750, 0.500]], "raw_formation_energy_ev_per_atom": 0.99, "space_group": "Immm (71)", "dos_ef_per_ev_fu": 4.8}

***

Record 6
{"formula": "BaSbMo2", "functional": "GGA-PBE", "state": "optimized geometry", "lattice_angstrom": [[-1.523, -3.330, 3.106], [3.785, -2.748, -1.090], [1.925, 1.598, 2.657]], "species": ["Ba", "Sb", "Mo", "Mo"], "frac_coords": [[0.000, 0.500, 0.500], [0.500, 0.000, 0.500], [0.500, 0.500, 0.000], [0.000, 0.000, 0.000]], "raw_formation_energy_ev_per_atom": 1.05, "space_group": "P4/mmm (123)", "dos_ef_per_ev_fu": 6.1}

***

Record 7
{"formula": "BaSb2Mo", "functional": "GGA-PBE", "state": "optimized geometry", "lattice_angstrom": [[-5.048, 0.216, 1.844], [-4.128, -0.063, -3.448], [-3.169, -4.334, -0.323]], "species": ["Ba", "Sb", "Sb", "Mo"], "frac_coords": [[0.500, 0.500, 0.500], [0.000, 0.000, 0.000], [0.250, 0.250, 0.250], [0.750, 0.750, 0.750]], "raw_formation_energy_ev_per_atom": 0.58, "polymorph_energy_ev_per_atom": 0.7672, "space_group": "F-43m (216)", "dos_ef_per_ev_fu": 2.7}

***

Record 8
{"formula": "BaSb2Mo", "functional": "GGA-PBE", "state": "optimized geometry", "lattice_angstrom": [[8.859, 0.012, 0.032], [-3.798, 4.384, -0.001], [1.263, 1.100, 2.922]], "species": ["Sb", "Sb", "Ba", "Mo"], "frac_coords": [[0.000, 0.000, 0.000], [0.500, 0.000, 0.500], [0.000, 0.500, 0.500], [0.500, 0.500, 0.000]], "raw_formation_energy_ev_per_atom": 0.40, "polymorph_energy_ev_per_atom": 0.5839, "space_group": "C2/m (12)", "dos_ef_per_ev_fu": 3.1}